Record 1
Compound: Sr2Ga3PtAu4
Source: Alexandria via LeMat-Bulk
Functional: GGA-PBE
Structure: optimized geometry

Geometry as extended XYZ:
```
10
Lattice="4.432 0.000 0.000 0.000 4.432 0.000 0.000 0.000 11.199" Properties=species:S:1:pos:R:3 pbc="T T T"
Sr 0.000 2.216 2.700
Sr 2.216 0.000 8.499
Ga 0.000 0.000 0.000
Ga 0.000 2.216 7.020
Ga 2.216 0.000 4.180
Pt 2.216 2.216 0.000
Au 0.000 0.000 5.600
Au 0.000 2.216 9.558
Au 2.216 0.000 1.642
Au 2.216 2.216 5.600
```

Calculated values
Crystal system: tetragonal
Total energy (eV per atom): -3.717
Space group: P-4m2

Record 2
Compound: K2CaW
Source: Alexandria via LeMat-Bulk
Functional: GGA-PBE
Structure: optimized geometry

Geometry as extended XYZ:
```
4
Lattice="5.307 -1.510 0.000 5.307 1.510 0.000 -0.297 0.000 9.591" Properties=species:S:1:pos:R:3 pbc="T T T"
K 0.000 0.000 0.000
K 2.356 0.000 6.041
Ca 4.991 0.000 3.480
W 7.826 0.000 2.479
```

Calculated values
Crystal system: monoclinic
Total energy (eV per atom): -3.029
Space group: Cm

Record 3
Compound: BaMgGa2Pd
Source: Alexandria via LeMat-Bulk
Functional: GGA-PBE
Structure: optimized geometry

Geometry as extended XYZ:
```
5
Lattice="-2.275 2.308 5.594 2.275 -2.308 5.594 2.275 2.308 -5.594" Properties=species:S:1:pos:R:3 pbc="T T T"
Ba 0.000 0.000 0.000
Mg 2.275 0.000 2.792
Ga 0.000 0.000 6.817
Ga 0.000 2.308 2.840
Pd 0.000 0.000 4.205
```

Calculated values
Crystal system: orthorhombic
Total energy (eV per atom): -3.461
Space group: Imm2

Record 4
Compound: Pm8Co2Pd
Source: Alexandria via LeMat-Bulk
Functional: GGA-PBE
Structure: optimized geometry

Geometry as extended XYZ:
```
11
Lattice="4.140 -6.221 0.000 4.140 6.221 0.000 -1.925 0.000 6.049" Properties=species:S:1:pos:R:3 pbc="T T T"
Pm 0.000 0.000 0.000
Pm 0.170 1.673 3.570
Pm 2.693 2.670 1.235
Pm 0.170 -1.673 3.570
Pm 3.250 1.706 4.918
Pm 2.693 -2.670 1.235
Pm 3.250 -1.706 4.918
Pm 5.281 0.000 2.392
Co 1.698 3.880 4.187
Co 1.698 -3.880 4.187
Pd 2.964 0.000 0.082
```

Calculated values
Crystal system: monoclinic
Total energy (eV per atom): -5.313
Space group: Cm

Record 5
Compound: ReC2
Source: Alexandria via LeMat-Bulk
Functional: GGA-PBE
Structure: optimized geometry

Geometry as extended XYZ:
```
3
Lattice="2.883 0.000 0.000 -1.442 2.497 0.000 0.000 0.000 4.058" Properties=species:S:1:pos:R:3 pbc="T T T"
Re 0.000 0.000 0.000
C 0.000 1.665 1.337
C 0.000 1.665 2.721
```

Calculated values
Crystal system: hexagonal
Total energy (eV per atom): -9.831
Space group: P-6m2

Record 6
Compound: Tm2Pa3Co4
Source: Alexandria via LeMat-Bulk
Functional: GGA-PBE
Structure: optimized geometry

Geometry as extended XYZ:
```
18
Lattice="7.730 0.000 0.000 0.000 7.118 0.000 -2.181 0.000 6.277" Properties=species:S:1:pos:R:3 pbc="T T T"
Tm 1.309 1.256 0.451
Tm 0.219 2.303 3.589
Tm 5.330 4.815 2.688
Tm 4.240 5.862 5.826
Pa 1.257 4.711 1.484
Pa 0.166 5.966 4.622
Pa 2.775 0.000 3.138
Pa 3.865 3.559 0.000
Pa 5.383 1.152 1.655
Pa 4.292 2.407 4.793
Co -1.282 3.953 5.385
Co -0.191 6.724 2.247
Co 2.369 4.446 4.002
Co 3.459 6.232 0.864
Co 2.090 0.886 5.413
Co 3.180 2.673 2.275
Co 5.740 0.394 4.030
Co 6.831 3.165 0.892
```

Calculated values
Crystal system: monoclinic
Total energy (eV per atom): -7.661
Space group: P2_1/c

Record 7
Compound: Tb6Pm2Y3Tm
Source: Alexandria via LeMat-Bulk
Functional: GGA-PBE
Structure: optimized geometry

Geometry as extended XYZ:
```
12
Lattice="3.094 -5.355 0.000 3.094 5.355 0.000 -2.052 0.000 11.669" Properties=species:S:1:pos:R:3 pbc="T T T"
Tb 0.007 1.780 8.758
Tb 1.025 0.000 2.907
Tb 0.007 -1.780 8.758
Tb 4.128 1.780 2.911
Tb 3.109 0.000 8.762
Tb 4.128 -1.780 2.911
Pm 2.067 1.783 5.834
Pm 2.067 -1.783 5.834
Y 3.094 3.573 0.000
Y 3.094 0.000 0.000
Y 3.094 -3.573 0.000
Tm -1.026 0.000 5.834
```

Calculated values
Crystal system: monoclinic
Total energy (eV per atom): -5.079
Space group: C2/m

Record 8
Compound: CaMgW2
Source: Alexandria via LeMat-Bulk
Functional: GGA-PBE
Structure: optimized geometry

Geometry as extended XYZ:
```
4
Lattice="2.810 -5.079 0.000 2.810 5.079 0.000 -0.819 0.000 2.654" Properties=species:S:1:pos:R:3 pbc="T T T"
Ca 0.000 0.000 0.000
Mg 2.810 0.000 0.000
W 0.995 2.539 1.327
W 0.995 -2.539 1.327
```

Calculated values
Crystal system: monoclinic
Total energy (eV per atom): -6.618
Space group: C2/m

Which value of total energy does entry 2 give?
-3.029 eV per atom

Look up the total energy of the fifth one.
-9.831 eV per atom

total energy of number 6 (Tm2Pa3Co4)?
-7.661 eV per atom

total energy of number 8 (CaMgW2)?
-6.618 eV per atom